1.
A plane-wave DFT calculation with PBE was carried out for a geometry-optimized Ge3PPt structure. Values from VASP.

Quantum ESPRESSO input file:
```
&SYSTEM
  ibrav = 0, nat = 5, ntyp = 3
/
ATOMIC_SPECIES
Ge 72.64 Ge.upf
P 30.97 P.upf
Pt 195.08 Pt.upf
CELL_PARAMETERS angstrom
-3.9906 1.3069 1.9608
-0.1098 -3.9553 2.4127
2.3538 2.0311 3.4368
ATOMIC_POSITIONS angstrom
Ge 1.1769 1.0156 1.7184
P 0.0000 0.0000 0.0000
Ge -1.9953 0.6534 0.9804
Pt -0.8733 -0.3086 3.9052
Ge -0.0549 -1.9776 1.2064
```

Computed properties:
space-group type: Pm-3m
calculated total energy: -4.356 eV per atom

=====

2.
A plane-wave DFT calculation with PBE was carried out for a geometry-optimized PuGe2P2Pt7 structure. Values from VASP.

Quantum ESPRESSO input file:
```
&SYSTEM
  ibrav = 0, nat = 12, ntyp = 4
/
ATOMIC_SPECIES
Pt 195.08 Pt.upf
Ge 72.64 Ge.upf
P 30.97 P.upf
Pu 244.00 Pu.upf
CELL_PARAMETERS angstrom
3.9038 0.0162 -0.0121
0.0210 3.9038 -0.0121
1.9474 1.9450 15.0283
ATOMIC_POSITIONS angstrom
Pt 3.8484 3.8438 9.0341
Pt 3.9220 1.9751 2.3183
Ge 2.0527 2.0502 8.5244
Ge 3.8194 3.8148 6.4797
Pt 1.9501 3.8899 12.6858
Pt 1.9624 1.9600 -0.0121
Pt 2.0237 2.0212 5.9700
Pt 3.8923 1.9454 12.6858
P 1.9755 1.9731 3.6656
P 3.8967 3.8919 11.3385
Pt 1.9799 3.9196 2.3183
Pu 0.0000 0.0000 0.0000
```

Computed properties:
space-group type: C2/m
calculated total energy: -6.846 eV per atom

=====

3.
A plane-wave DFT calculation with PBE was carried out for a geometry-optimized Pu2Ge3PPt4 structure. Values from VASP.

Quantum ESPRESSO input file:
```
&SYSTEM
  ibrav = 0, nat = 10, ntyp = 4
/
ATOMIC_SPECIES
Pt 195.08 Pt.upf
P 30.97 P.upf
Ge 72.64 Ge.upf
Pu 244.00 Pu.upf
CELL_PARAMETERS angstrom
-1.0535 -3.0934 2.9544
4.2040 -1.3106 0.1269
1.7384 6.2718 7.1867
ATOMIC_POSITIONS angstrom
Pt 1.5752 -2.2020 1.5406
P 2.4444 0.9339 5.1340
Pt 0.5421 2.3097 5.8962
Ge 0.8692 3.1359 3.5934
Ge 0.9832 3.9008 7.7194
Pu -0.0749 0.0835 3.3451
Pt 2.7715 1.7601 2.8312
Pt 0.0000 0.0000 0.0000
Pu 3.3885 3.9863 5.3822
Ge 2.3305 0.1690 1.0080
```

Computed properties:
space-group type: P-4m2
calculated total energy: -7.907 eV per atom

=====

4.
A plane-wave DFT calculation with PBE was carried out for a geometry-optimized Pu2GePPt6 structure. Values from VASP.

Quantum ESPRESSO input file:
```
&SYSTEM
  ibrav = 0, nat = 20, ntyp = 4
/
ATOMIC_SPECIES
Pt 195.08 Pt.upf
Ge 72.64 Ge.upf
P 30.97 P.upf
Pu 244.00 Pu.upf
CELL_PARAMETERS angstrom
-3.1672 0.4355 -4.5435
-2.2826 -8.1450 0.8106
-6.4532 2.2779 4.7167
ATOMIC_POSITIONS angstrom
Pt -5.1189 -2.6815 1.6144
Ge -4.8770 -4.7500 2.9444
Pt -6.7038 -2.4636 -0.6592
P -1.6806 -5.9968 0.5968
Pt -2.4145 0.1993 -3.3997
P -5.4122 -0.7915 0.3004
Pt -6.8927 -5.3947 4.2877
Pt -1.9739 -4.1069 -0.7173
Pt -3.5562 -3.8893 -2.9872
Pt -0.8243 -0.0193 -1.1185
Ge -2.2159 -2.0383 -2.0473
Pt -3.5530 -6.5735 1.8467
Pt -7.8456 -6.5522 -0.2467
Pt -3.5399 -0.2148 -0.9496
Pu -8.0749 -4.0643 1.8428
Pt -6.2685 -6.7690 2.0156
Pu -2.1946 -1.6027 1.3762
Pt -6.6534 0.8842 1.3262
Pu -5.4711 -0.4462 3.7711
Pu -4.8982 -5.1856 -0.4791
```

Computed properties:
space-group type: Pmmn
calculated total energy: -8.174 eV per atom